Entry 1:
Compound: BaCrOs2
Source: Alexandria via LeMat-Bulk
Functional: PBE
Structure: optimized geometry

E above lowest polymorph (meV per atom): 716.5
Formation energy from the elements (eV per formula unit): 4.63
Crystal system: orthorhombic

Cell: 5.7979 5.7979 5.7979 Å, 150.92 128.29 60.42°
Atoms (fractional coordinates):
Ba: 0.0000 0.0000 0.0000
Cr: 0.5000 0.5000 0.0000
Os: 0.2853 0.7853 0.5000
Os: 0.7147 0.2147 0.5000



Entry 2:
Compound: BaCrOs2
Source: Alexandria via LeMat-Bulk
Functional: PBE
Structure: optimized geometry

E above lowest polymorph (meV per atom): 281.4
Formation energy from the elements (eV per formula unit): 2.89
Crystal system: tetragonal

Cell: 3.0572 3.0572 8.0482 Å, 90.00 90.00 90.00°
Atoms (fractional coordinates):
Ba: 0.0000 0.0000 0.0000
Cr: 0.0000 0.0000 0.5000
Os: 0.5000 0.5000 0.3321
Os: 0.5000 0.5000 0.6679



Entry 3:
Compound: BaCr2Os
Source: Alexandria via LeMat-Bulk
Functional: PBE
Structure: optimized geometry

E above lowest polymorph (meV per atom): 190.3
Formation energy from the elements (eV per formula unit): 2.95
Crystal system: monoclinic

Cell: 3.0240 3.6057 7.5064 Å, 90.00 90.06 90.00°
Atoms (fractional coordinates):
Ba: 0.0000 0.0000 0.0000
Cr: 0.5002 0.5000 0.3632
Cr: 0.4998 0.5000 0.6368
Os: 0.0000 0.0000 0.5000



Entry 4:
Compound: BaCrOs2
Source: Alexandria via LeMat-Bulk
Functional: PBE
Structure: optimized geometry

E above lowest polymorph (meV per atom): 990.9
Formation energy from the elements (eV per formula unit): 5.73
Crystal system: orthorhombic

Cell: 3.0203 4.8426 5.1715 Å, 90.00 90.00 90.00°
Atoms (fractional coordinates):
Ba: 0.0000 0.0000 0.0000
Cr: 0.5000 0.5000 0.0000
Os: 0.0000 0.5000 0.5000
Os: 0.5000 0.0000 0.5000



Entry 5:
Compound: BaCr2Os
Source: Alexandria via LeMat-Bulk
Functional: PBE
Structure: optimized geometry

E above lowest polymorph (meV per atom): 608.3
Formation energy from the elements (eV per formula unit): 4.62
Crystal system: trigonal

Cell: 9.9849 9.9849 9.9849 Å, 17.76 17.76 17.76°
Atoms (fractional coordinates):
Ba: 0.0000 0.0000 0.0000
Cr: 0.2306 0.2306 0.2306
Cr: 0.7694 0.7694 0.7694
Os: 0.5000 0.5000 0.5000



Entry 6:
Compound: BaCrOs2
Source: Alexandria via LeMat-Bulk
Functional: PBE
Structure: optimized geometry

E above lowest polymorph (meV per atom): 0.0
Formation energy from the elements (eV per formula unit): 1.76
Crystal system: trigonal

Cell: 6.4302 6.4302 6.4302 Å, 39.52 39.52 39.52°
Atoms (fractional coordinates):
Ba: 0.0000 0.0000 0.0000
Cr: 0.1871 0.1871 0.1871
Os: 0.4905 0.4905 0.4905
Os: 0.8138 0.8138 0.8138



Entry 7:
Compound: BaCr4Os
Source: Alexandria via LeMat-Bulk
Functional: PBE
Structure: optimized geometry

Formation energy from the elements (eV per formula unit): 6.48
Crystal system: cubic

Cell: 5.0637 5.0637 5.0637 Å, 60.00 60.00 60.00°
Atoms (fractional coordinates):
Ba: 0.0000 0.0000 0.0000
Cr: 0.1280 0.6240 0.6240
Cr: 0.6240 0.1280 0.6240
Cr: 0.6240 0.6240 0.1280
Cr: 0.6240 0.6240 0.6240
Os: 0.2500 0.2500 0.2500



Entry 8:
Compound: BaCrOs3
Source: Alexandria via LeMat-Bulk
Functional: PBE
Structure: optimized geometry

E above lowest polymorph (meV per atom): 2866.8
Formation energy from the elements (eV per formula unit): 20.89
Crystal system: cubic

Cell: 4.9572 4.9572 4.9572 Å, 90.00 90.00 90.00°
Atoms (fractional coordinates):
Ba: 0.0000 0.0000 0.0000
Cr: 0.5000 0.5000 0.5000
Os: 0.0000 0.0000 0.5000
Os: 0.0000 0.5000 0.0000
Os: 0.5000 0.0000 0.0000



Entry 9:
Compound: BaCrOs2
Source: Alexandria via LeMat-Bulk
Functional: PBE
Structure: optimized geometry

E above lowest polymorph (meV per atom): 1099.6
Formation energy from the elements (eV per formula unit): 6.16
Crystal system: tetragonal

Cell: 4.0415 4.0415 4.8095 Å, 90.00 90.00 90.00°
Atoms (fractional coordinates):
Ba: 0.0000 0.0000 0.0000
Cr: 0.5000 0.5000 0.0000
Os: 0.0000 0.5000 0.5000
Os: 0.5000 0.0000 0.5000



Entry 10:
Compound: BaCr3Os
Source: Alexandria via LeMat-Bulk
Functional: PBE
Structure: optimized geometry

E above lowest polymorph (meV per atom): 0.0
Formation energy from the elements (eV per formula unit): 4.55
Crystal system: cubic

Cell: 4.8951 4.8951 4.8951 Å, 90.00 90.00 90.00°
Atoms (fractional coordinates):
Ba: 0.0000 0.0000 0.0000
Cr: 0.0000 0.5000 0.5000
Cr: 0.5000 0.0000 0.5000
Cr: 0.5000 0.5000 0.0000
Os: 0.5000 0.5000 0.5000



Entry 11:
Compound: BaCrOs2
Source: Alexandria via LeMat-Bulk
Functional: PBE
Structure: optimized geometry

E above lowest polymorph (meV per atom): 425.0
Formation energy from the elements (eV per formula unit): 3.46
Crystal system: monoclinic

Cell: 2.9106 3.7675 7.5293 Å, 90.00 100.42 90.00°
Atoms (fractional coordinates):
Ba: 0.0000 0.0000 0.0000
Cr: 0.5000 0.0000 0.5000
Os: 0.2626 0.5000 0.6582
Os: 0.7374 0.5000 0.3418



Entry 12:
Compound: BaCr2Os
Source: Alexandria via LeMat-Bulk
Functional: PBE
Structure: optimized geometry

E above lowest polymorph (meV per atom): 470.0
Formation energy from the elements (eV per formula unit): 4.07
Crystal system: tetragonal

Cell: 8.7269 8.7269 8.7269 Å, 143.77 143.77 52.17°
Atoms (fractional coordinates):
Ba: 0.3750 0.6250 0.7500
Ba: 0.6250 0.3750 0.2500
Cr: 0.0000 0.0000 0.0000
Cr: 0.0000 0.0000 0.5000
Cr: 0.0000 0.5000 0.0000
Cr: 0.5000 0.0000 0.5000
Os: 0.1250 0.8750 0.2500
Os: 0.8750 0.1250 0.7500



Entry 13:
Compound: BaCrOs2
Source: Alexandria via LeMat-Bulk
Functional: PBE
Structure: optimized geometry

E above lowest polymorph (meV per atom): 1161.9
Formation energy from the elements (eV per formula unit): 6.41
Crystal system: cubic

Cell: 4.6899 4.6899 4.6899 Å, 60.00 60.00 60.00°
Atoms (fractional coordinates):
Ba: 0.0000 0.0000 0.0000
Cr: 0.5000 0.5000 0.5000
Os: 0.2500 0.2500 0.2500
Os: 0.7500 0.7500 0.7500



Entry 14:
Compound: BaCrOs2
Source: Alexandria via LeMat-Bulk
Functional: PBE
Structure: optimized geometry

E above lowest polymorph (meV per atom): 521.2
Formation energy from the elements (eV per formula unit): 3.85
Crystal system: tetragonal

Cell: 8.6793 8.6793 8.6793 Å, 145.95 145.95 48.92°
Atoms (fractional coordinates):
Ba: 0.3750 0.6250 0.7500
Ba: 0.6250 0.3750 0.2500
Cr: 0.1250 0.8750 0.2500
Cr: 0.8750 0.1250 0.7500
Os: 0.0000 0.0000 0.0000
Os: 0.0000 0.0000 0.5000
Os: 0.0000 0.5000 0.0000
Os: 0.5000 0.0000 0.5000



Entry 15:
Compound: BaCrOs2
Source: Alexandria via LeMat-Bulk
Functional: PBE
Structure: optimized geometry

E above lowest polymorph (meV per atom): 984.3
Formation energy from the elements (eV per formula unit): 5.70
Crystal system: cubic

Cell: 4.7394 4.7394 4.7394 Å, 60.00 60.00 60.00°
Atoms (fractional coordinates):
Ba: 0.0000 0.0000 0.0000
Cr: 0.2500 0.2500 0.2500
Os: 0.5000 0.5000 0.5000
Os: 0.7500 0.7500 0.7500



Entry 16:
Compound: BaCr2Os
Source: Alexandria via LeMat-Bulk
Functional: PBE
Structure: optimized geometry

E above lowest polymorph (meV per atom): 816.0
Formation energy from the elements (eV per formula unit): 5.45
Crystal system: cubic

Cell: 4.5721 4.5721 4.5721 Å, 60.00 60.00 60.00°
Atoms (fractional coordinates):
Ba: 0.0000 0.0000 0.0000
Cr: 0.2500 0.2500 0.2500
Cr: 0.7500 0.7500 0.7500
Os: 0.5000 0.5000 0.5000



Entry 17:
Compound: BaCrOs2
Source: Alexandria via LeMat-Bulk
Functional: PBE
Structure: optimized geometry

E above lowest polymorph (meV per atom): 725.0
Formation energy from the elements (eV per formula unit): 4.66
Crystal system: orthorhombic

Cell: 6.0210 6.0210 6.0210 Å, 151.36 125.94 62.31°
Atoms (fractional coordinates):
Ba: 0.0000 0.0000 0.0000
Cr: 0.2996 0.7996 0.5000
Os: 0.5085 0.5085 0.0000
Os: 0.7072 0.2072 0.5000



Entry 18:
Compound: BaCrOs2
Source: Alexandria via LeMat-Bulk
Functional: PBE
Structure: optimized geometry

E above lowest polymorph (meV per atom): 335.8
Formation energy from the elements (eV per formula unit): 3.11
Crystal system: monoclinic

Cell: 4.5531 4.5531 6.8046 Å, 102.76 102.76 39.01°
Atoms (fractional coordinates):
Ba: 0.0000 0.0000 0.0000
Cr: 0.5000 0.5000 0.5000
Os: 0.2147 0.2147 0.6356
Os: 0.7853 0.7853 0.3644



Entry 19:
Compound: BaCrSbOs2
Source: Alexandria via LeMat-Bulk
Functional: PBE
Structure: optimized geometry

Formation energy without anion corrections (meV/atom): 1836
Crystal system: tetragonal

Cell: 4.9391 4.9391 6.0688 Å, 90.00 90.00 90.00°
Atoms (fractional coordinates):
Ba: 0.0000 0.0000 0.0000
Cr: 0.5000 0.5000 0.0000
Sb: 0.0000 0.0000 0.5000
Os: 0.0000 0.5000 0.5000
Os: 0.5000 0.0000 0.5000



Entry 20:
Compound: BaCr2TcOs
Source: Alexandria via LeMat-Bulk
Functional: PBE
Structure: optimized geometry

Formation energy from the elements (eV per formula unit): 15.52
Crystal system: tetragonal

Cell: 4.8775 4.8775 4.9959 Å, 90.00 90.00 90.00°
Atoms (fractional coordinates):
Ba: 0.0000 0.0000 0.0000
Cr: 0.0000 0.5000 0.0000
Cr: 0.5000 0.0000 0.0000
Tc: 0.5000 0.5000 0.5000
Os: 0.0000 0.0000 0.5000



E_tot per entry: -7.34 -7.78 -7.36 -7.07 -6.94 -8.06 -7.53 -4.87 -6.96 -7.49 -7.64 -7.08 -6.90 -7.54 -7.08 -6.74 -7.34 -7.72 -5.79 -5.45 eV per atom